Version one
The following is a DFT calculation (PBE-GGA) of a relaxed ReRuSe crystal.

Calculated values
M_tot: 0.00 Bohr magnetons per cell
Symmetry: Imm2
Mass density: 13.37 Mg/m³
DOS(E_F): 2.43 states/eV/f.u.

The structure in CIF format:
```
data_ReRuSe
_symmetry_space_group_name_H-M 'P 1'
_symmetry_Int_Tables_number 1
_cell_length_a 4.6332
_cell_length_b 4.6332
_cell_length_c 4.6332
_cell_angle_alpha 142.97
_cell_angle_beta 129.71
_cell_angle_gamma 64.07
loop_
_symmetry_equiv_pos_as_xyz
'x,y,z'
loop_
_atom_site_label
_atom_site_type_symbol
_atom_site_fract_x
_atom_site_fract_y
_atom_site_fract_z
Re1 Re 0.0000 0.0000 0.0000
Ru1 Ru 0.6536 0.6536 0.0000
Se1 Se 0.3274 0.3274 0.0000
```

***

Version two
The following is a DFT calculation (PBE-GGA) of a relaxed ReRuSe crystal.

Calculated values
M_tot: 0.00 Bohr magnetons per cell
Symmetry: P-6m2
Mass density: 13.34 Mg/m³
DOS(E_F): 2.92 states/eV/f.u.

The structure in CIF format:
```
data_ReRuSe
_symmetry_space_group_name_H-M 'P 1'
_symmetry_Int_Tables_number 1
_cell_length_a 4.2199
_cell_length_b 4.2199
_cell_length_c 2.9566
_cell_angle_alpha 90.00
_cell_angle_beta 90.00
_cell_angle_gamma 120.00
loop_
_symmetry_equiv_pos_as_xyz
'x,y,z'
loop_
_atom_site_label
_atom_site_type_symbol
_atom_site_fract_x
_atom_site_fract_y
_atom_site_fract_z
Re1 Re 0.0000 0.0000 0.0000
Ru1 Ru 0.6667 0.3333 0.5000
Se1 Se 0.3333 0.6667 0.0000
```

***

Which of them is most stable? Easy: version two.